Record 1
Compound: Mn2BePb
Source: Alexandria
Functional: GGA-PBE
Structure: optimized geometry

## Properties
ΔH_f (0 K) = 0.485 eV/atom

a b c (Å): 4.9846 4.9846 4.9846
angles (deg): 135.60 134.72 65.28
Last column: nearest neighbours and their distance in Å.
Fractional positions:
Pb 0.4978 0.4978 0.0000  8 Mn 2.69-2.84, 4 Be 2.82-2.84
Be 0.2474 0.7474 0.5000  8 Mn 2.69-2.89, 4 Pb 2.82-2.84
Mn 0.0041 0.0041 0.0000  4 Pb 2.69, 4 Be 2.78-2.89, 4 Mn 2.82-2.84
Mn 0.7507 0.2507 0.5000  4 Be 2.69, 4 Mn 2.82-2.84, 4 Pb 2.83-2.84


Record 2
Compound: Gd2GeRu
Source: Alexandria
Functional: GGA-PBE
Structure: optimized geometry

## Properties
ΔH_f (0 K) = -0.487 eV/atom

a b c (Å): 3.4941 3.4941 7.1937
angles (deg): 90.00 90.00 90.00
Last column: nearest neighbours and their distance in Å.
Fractional positions:
Ru 0.5000 0.5000 0.0000  8 Gd 2.99
Ge 0.5000 0.5000 0.5000  8 Gd 3.13, 4 Ge 3.49
Gd 0.0000 0.0000 0.7661  4 Ru 2.99, 4 Ge 3.13
Gd 0.0000 0.0000 0.2339  4 Ru 2.99, 4 Ge 3.13


Record 3
Compound: Ti2IrOs2
Source: Alexandria
Functional: GGA-PBE
Structure: optimized geometry

## Properties
ΔH_f (0 K) = -0.464 eV/atom

a b c (Å): 5.2905 4.2005 13.5177
angles (deg): 90.00 92.56 90.00
Last column: nearest neighbours and their distance in Å.
Fractional positions:
Ir 0.9715 0.0000 0.6100  5 Ti 2.59-2.75, 3 Os 2.69-2.87
Ir 0.9715 0.5000 0.1100  5 Ti 2.59-2.75, 3 Os 2.69-2.87
Ir 0.4809 0.0000 0.8361  5 Ti 2.57-2.68, 3 Os 2.63-2.87
Ir 0.4809 0.5000 0.3361  5 Ti 2.57-2.68, 3 Os 2.63-2.87
Os 0.8304 0.0000 0.4167  4 Ti 2.62-2.69, 3 Os 2.68-2.88, 1 Ir 2.69
Os 0.8304 0.5000 0.9167  4 Ti 2.62-2.69, 3 Os 2.68-2.88, 1 Ir 2.69
Os 0.6869 0.0000 0.2085  3 Os 2.55-2.71, 2 Ti 2.56
Os 0.6869 0.5000 0.7085  3 Os 2.55-2.71, 2 Ti 2.56
Os 0.1970 0.0000 0.2387  6 Ti 2.58-2.88, 2 Os 2.64-2.71, 2 Ir 2.87
Os 0.1970 0.5000 0.7387  6 Ti 2.58-2.88, 2 Os 2.64-2.71, 2 Ir 2.87
Os 0.6712 0.0000 0.0195  3 Os 2.55-2.68, 2 Ti 2.63-2.67, 1 Ir 2.63
Os 0.6712 0.5000 0.5195  3 Os 2.55-2.68, 2 Ti 2.63-2.67, 1 Ir 2.63
Ti 0.4621 0.0000 0.6412  2 Os 2.56, 3 Ir 2.61-2.75
Ti 0.4621 0.5000 0.1412  2 Os 2.56, 3 Ir 2.61-2.75
Ti 0.1682 0.0000 0.0319  2 Ir 2.59, 3 Os 2.63-2.79, 2 Ti 2.70
Ti 0.1682 0.5000 0.5319  2 Ir 2.59, 3 Os 2.63-2.79, 2 Ti 2.70
Ti 0.3262 0.0000 0.4248  2 Ir 2.57, 3 Os 2.58-2.67, 2 Ti 2.70
Ti 0.3262 0.5000 0.9248  2 Ir 2.57, 3 Os 2.58-2.67, 2 Ti 2.70
Ti 0.9760 0.0000 0.8089  6 Os 2.60-2.90, 3 Ir 2.66-2.69
Ti 0.9760 0.5000 0.3089  6 Os 2.60-2.90, 3 Ir 2.66-2.69


Record 4
Compound: Y2MgZn9
Source: Alexandria
Functional: GGA-PBE
Structure: optimized geometry

## Properties
ΔH_f (0 K) = -0.185 eV/atom

a b c (Å): 5.4634 5.4634 9.0355
angles (deg): 72.40 72.40 60.00
Last column: nearest neighbours and their distance in Å.
Fractional positions:
Y 0.8599 0.8599 0.4203  12 Zn 3.09-3.23, 3 Y 3.43
Y 0.1401 0.1401 0.5797  12 Zn 3.09-3.23, 3 Y 3.43
Mg 0.0000 0.0000 0.0000  18 Zn 3.15-3.45
Zn 0.6650 0.6650 0.0049  6 Zn 2.61-2.65
Zn 0.3350 0.3350 0.9951  6 Zn 2.61-2.65
Zn 0.5000 0.5000 0.5000  6 Zn 2.67
Zn 0.4141 0.4141 0.2485  7 Zn 2.61-2.78
Zn 0.9232 0.4141 0.2485  7 Zn 2.61-2.78
Zn 0.4141 0.9232 0.2485  7 Zn 2.61-2.78
Zn 0.5859 0.5859 0.7515  7 Zn 2.61-2.78
Zn 0.5859 0.0768 0.7515  7 Zn 2.61-2.78
Zn 0.0768 0.5859 0.7515  7 Zn 2.61-2.78


Record 5
Compound: FeNiRhN2
Source: Alexandria
Functional: GGA-PBE
Structure: optimized geometry

## Properties
Formation energy from raw total energies = 1.147 eV/atom

a b c (Å): 3.5310 4.6629 3.5310
angles (deg): 90.00 90.00 90.00
Last column: nearest neighbours and their distance in Å.
Fractional positions:
Ni 0.0000 0.5000 0.0000  2 Fe 2.33, 4 Rh 2.50
Rh 0.5000 0.5000 0.5000  4 Ni 2.50
Fe 0.0000 0.0000 0.0000  4 N 1.77
N 0.0000 0.0000 0.5000  2 Fe 1.77
N 0.5000 0.0000 0.0000  2 Fe 1.77


Record 6
Compound: CsK2HBr
Source: Alexandria
Functional: GGA-PBE
Structure: optimized geometry

## Properties
E = -2.185 eV/atom

a b c (Å): 5.4667 5.4667 6.9094
angles (deg): 90.00 90.00 90.00
Last column: nearest neighbours and their distance in Å.
Fractional positions:
Cs 0.0000 0.0000 0.5000  2 H 3.45, 4 Br 3.87
H 0.0000 0.0000 0.0000  4 K 2.73
K 0.0000 0.5000 0.0000  2 H 2.73
K 0.5000 0.0000 0.0000  2 H 2.73
Br 0.5000 0.5000 0.5000  4 Cs 3.87


Record 7
Compound: CsFe2S2
Source: Alexandria
Functional: GGA-PBE
Structure: optimized geometry

## Properties
Formation energy from raw total energies = -0.496 eV/atom

a b c (Å): 3.6876 3.6876 7.5418
angles (deg): 90.00 90.00 90.00
Last column: nearest neighbours and their distance in Å.
Fractional positions:
Cs 0.0000 0.0000 0.0000  8 S 3.48, 4 Cs 3.69
Fe 0.5000 0.0000 0.5000  4 S 2.36, 4 Fe 2.61
Fe 0.0000 0.5000 0.5000  4 S 2.36, 4 Fe 2.61
S 0.5000 0.5000 0.6951  4 Fe 2.36
S 0.5000 0.5000 0.3049  4 Fe 2.36


Record 8
Compound: PmDyHoMg
Source: Alexandria
Functional: GGA-PBE
Structure: optimized geometry

## Properties
ΔH_f (0 K) = 0.038 eV/atom

a b c (Å): 5.5329 5.5329 5.5329
angles (deg): 60.00 60.00 60.00
Last column: nearest neighbours and their distance in Å.
Fractional positions:
Mg 0.0000 0.0000 0.0000  4 Dy 3.39, 4 Pm 3.39
Pm 0.7500 0.7500 0.7500  4 Ho 3.39, 4 Mg 3.39
Ho 0.5000 0.5000 0.5000  4 Pm 3.39, 4 Dy 3.39
Dy 0.2500 0.2500 0.2500  4 Ho 3.39, 4 Mg 3.39


These records have volume values of 60.7; 87.8; 300.1; 218.9; 58.1; 206.5; 102.6; 119.8 Å³ per cell, in the order they appear.